Record 1
Entry from Alexandria via LeMat-Bulk: a relaxed structure of NdGa4Ir2Au (PBE-GGA).

Unit cell a=4.2897 b=4.2897 c=27.8542 alpha=90.00 beta=90.00 gamma=120.00
With the nearest neighbours (Å) after each atom.
Space group R-3m (No. 166, hexagonal axes)
One atom of each set of equivalent atoms:
Nd1 0.0000 0.0000 0.0000 (multiplicity 3)  8 Ga 3.10-3.40, 6 Ir 3.35
Ga1 0.0000 0.0000 0.1220 (multiplicity 6)  3 Ir 2.73, 3 Au 2.77, 3 Ga 2.91
Ga2 0.0000 0.0000 0.4004 (multiplicity 6)  3 Ir 2.51, 1 Au 2.77
Ir1 0.0000 0.0000 0.2524 (multiplicity 6)  6 Ga 2.51-2.73
Au1 0.0000 0.0000 0.5000 (multiplicity 3)  8 Ga 2.77

- Formation energy from the elements: -0.391 eV per atom
- M_tot: 0.00 μB per formula unit


Record 2
Entry from Alexandria via LeMat-Bulk: a relaxed structure of Zn2CrGa2 (PBE-GGA).

Unit cell a=7.0252 b=7.0252 c=3.0684 alpha=90.00 beta=90.00 gamma=90.00
With the nearest neighbours (Å) after each atom.
Space group P4/mbm (No. 127)
One atom of each set of equivalent atoms:
Zn1 0.1266 0.3734 0.0000 (multiplicity 4)  6 Ga 2.48-2.65, 1 Zn 2.52, 2 Cr 2.77
Cr1 0.0000 0.0000 0.0000 (multiplicity 2)  4 Zn 2.77, 8 Ga 3.01, 2 Cr 3.07
Ga1 0.1767 0.6767 0.5000 (multiplicity 4)  6 Zn 2.48-2.65

- Energy relative to the lowest polymorph listed for this composition: 170.9 meV/atom
- Formation energy from the elements: 0.410 eV per atom
- M_tot: 0.00 μB per formula unit


Record 3
Entry from Alexandria via LeMat-Bulk: a relaxed structure of Tb5Tl2HS (PBE-GGA).

Unit cell a=4.1504 b=17.7573 c=12.3422 alpha=90.00 beta=90.00 gamma=90.00
With the nearest neighbours (Å) after each atom.
Space group Cmc2_1 (No. 36)
One atom of each set of equivalent atoms:
Tb1 0.0000 0.0017 0.0000 (multiplicity 4)  1 H 2.28
Tb2 0.0000 0.1448 0.7538 (multiplicity 4)  1 S 2.75
Tb3 0.0000 0.1936 0.4035 (multiplicity 4)  2 S 2.76
Tb4 0.0000 0.1953 0.1100 (multiplicity 4)  1 H 2.29
Tb5 0.0000 0.4579 0.7420 (multiplicity 4)  2 H 2.38
Tl1 0.0000 0.3743 0.4408 (multiplicity 4)  7 Tb 3.11-3.24
Tl2 0.0000 0.3787 0.0666 (multiplicity 4)  7 Tb 3.12-3.30
H1 0.0000 0.0701 0.1562 (multiplicity 4)  4 Tb 2.28-2.38
S1 0.0000 0.2997 0.7558 (multiplicity 4)  6 Tb 2.75-2.82

- DFT total energy: -4.652 eV/atom
- M_tot: 0.16 μB per formula unit


Record 4
Entry from Alexandria via LeMat-Bulk: a relaxed structure of ReHSe3 (PBE-GGA).

Unit cell a=4.9119 b=4.9119 c=4.9119 alpha=90.00 beta=90.00 gamma=90.00
With the nearest neighbours (Å) after each atom.
Space group Pm-3m (No. 221)
One atom of each set of equivalent atoms:
Re1 0.0000 0.0000 0.0000 (multiplicity 1)  6 Se 2.46
H1 0.5000 0.5000 0.5000 (multiplicity 1)  12 Se 3.47
Se1 0.0000 0.0000 0.5000 (multiplicity 3)  2 Re 2.46

- Energy relative to the lowest polymorph listed for this composition: 0.0 meV/atom
- M_tot: 0.90 μB per formula unit


Record 5
Entry from Alexandria via LeMat-Bulk: a relaxed structure of NaHgSe (PBE-GGA).

Unit cell a=6.9777 b=6.9777 c=6.9777 alpha=90.00 beta=90.00 gamma=90.00
With the nearest neighbours (Å) after each atom.
Space group F-43m (No. 216)
One atom of each set of equivalent atoms:
Na1 0.0000 0.0000 0.0000 (multiplicity 4)  4 Se 3.02
Hg1 0.0000 0.0000 0.5000 (multiplicity 4)  4 Se 3.02
Se1 0.2500 0.2500 0.7500 (multiplicity 4)  4 Hg 3.02, 4 Na 3.02

- Energy relative to the lowest polymorph listed for this composition: 126.1 meV/atom
- M_tot: 0.00 μB per formula unit


Record 6
Entry from Alexandria via LeMat-Bulk: a relaxed structure of AsI (PBE-GGA).

Unit cell a=3.8725 b=6.5271 c=6.9430 alpha=83.82 beta=77.65 gamma=76.09
With the nearest neighbours (Å) after each atom.
Space group P1 (No. 1)
One atom of each set of equivalent atoms:
As1 0.0000 0.0000 0.0000 (multiplicity 1)  2 As 2.55, 1 I 2.64
As2 0.3698 0.1247 0.2079 (multiplicity 1)  2 As 2.55, 1 I 2.64
I1 0.2549 0.7689 0.4033 (multiplicity 1)  1 As 2.64
I2 0.7481 0.3542 0.8019 (multiplicity 1)  1 As 2.64

- DFT total energy: -3.142 eV/atom
- M_tot: 0.00 μB per formula unit


Record 7
Entry from Alexandria via LeMat-Bulk: a relaxed structure of BaAlNi2Te (PBE-GGA).

Unit cell a=4.7236 b=4.7236 c=5.5970 alpha=90.00 beta=90.00 gamma=90.00
With the nearest neighbours (Å) after each atom.
Space group P4/mmm (No. 123)
One atom of each set of equivalent atoms:
Ba1 0.0000 0.0000 0.0000 (multiplicity 1)  4 Te 3.34, 8 Ni 3.66
Al1 0.5000 0.5000 0.5000 (multiplicity 1)  4 Ni 2.36
Ni1 0.0000 0.5000 0.5000 (multiplicity 2)  2 Al 2.36
Te1 0.5000 0.5000 0.0000 (multiplicity 1)  2 Al 2.80

- DFT total energy: -4.039 eV/atom
- M_tot: 0.52 μB per formula unit


Record 8
Entry from Alexandria via LeMat-Bulk: a relaxed structure of Ba2PaBi2O2 (PBE-GGA).

Unit cell a=13.1693 b=4.7576 c=7.6031 alpha=90.00 beta=118.98 gamma=90.00
With the nearest neighbours (Å) after each atom.
Space group C2/m (No. 12)
One atom of each set of equivalent atoms:
Ba1 0.2061 0.0000 0.2434 (multiplicity 4)  3 O 2.83-2.86
Pa1 0.0000 0.0000 0.5000 (multiplicity 2)  2 O 1.99
Bi1 0.0327 0.5000 0.8153 (multiplicity 4)  2 Pa 3.25, 1 Bi 3.31
O1 0.1685 0.0000 0.5833 (multiplicity 4)  1 Pa 1.99

- DFT total energy: -6.401 eV/atom
- M_tot: 0.00 μB per formula unit


Record 9
Entry from Alexandria via LeMat-Bulk: a relaxed structure of ZrMnFe (PBE-GGA).

Unit cell a=8.1122 b=4.9470 c=8.6230 alpha=90.00 beta=90.00 gamma=90.00
With the nearest neighbours (Å) after each atom.
Space group Amm2 (No. 38)
One atom of each set of equivalent atoms:
Zr1 0.1873 0.0000 0.0000 (multiplicity 4)  5 Mn 2.90-2.93, 7 Fe 2.90-2.92, 4 Zr 3.04
Zr2 0.3121 0.0000 0.6670 (multiplicity 4)  7 Mn 2.90-2.93, 5 Fe 2.90-2.91, 4 Zr 3.04-3.05
Mn1 0.2536 0.0000 0.3344 (multiplicity 4)  2 Mn 2.47, 4 Fe 2.48-2.51
Mn2 0.5000 0.2452 0.9168 (multiplicity 4)  4 Mn 2.43-2.52, 2 Fe 2.45-2.52
Fe1 0.0000 0.0000 0.5006 (multiplicity 2)  4 Fe 2.48-2.49, 2 Mn 2.51
Fe2 0.0000 0.2490 0.7501 (multiplicity 4)  4 Fe 2.46-2.49, 2 Mn 2.51
Fe3 0.5000 0.0000 0.1643 (multiplicity 2)  6 Mn 2.45-2.52

- Energy relative to the lowest polymorph listed for this composition: 8.4 meV/atom
- Formation energy from the elements: -0.219 eV per atom
- M_tot: 2.21 μB per formula unit


Record 10
Entry from Alexandria via LeMat-Bulk: a relaxed structure of LaTaBe2 (PBE-GGA).

Unit cell a=6.5413 b=6.5413 c=6.5413 alpha=90.00 beta=90.00 gamma=90.00
With the nearest neighbours (Å) after each atom.
Space group Fm-3m (No. 225)
One atom of each set of equivalent atoms:
La1 0.0000 0.0000 0.0000 (multiplicity 4)  8 Be 2.83
Ta1 0.0000 0.0000 0.5000 (multiplicity 4)  8 Be 2.83
Be1 0.2500 0.2500 0.2500 (multiplicity 8)  4 Ta 2.83, 4 La 2.83

- Energy relative to the lowest polymorph listed for this composition: 298.2 meV/atom
- Formation energy from the elements: 0.488 eV per atom
- M_tot: 0.00 μB per formula unit


Record 11
Entry from Alexandria via LeMat-Bulk: a relaxed structure of Ac4SiSnI2 (PBE-GGA).

Unit cell a=8.2593 b=4.7254 c=8.4398 alpha=90.00 beta=108.83 gamma=90.00
With the nearest neighbours (Å) after each atom.
Space group P2/m (No. 10)
One atom of each set of equivalent atoms:
Ac1 0.2220 0.0000 0.2043 (multiplicity 2)  2 Si 3.14, 1 Sn 3.29
Ac2 0.2478 0.5000 0.7887 (multiplicity 2)  1 Si 3.12, 2 Sn 3.27
Si1 0.0000 0.5000 0.0000 (multiplicity 1)  6 Ac 3.12-3.14
Sn1 0.5000 0.0000 0.0000 (multiplicity 1)  6 Ac 3.27-3.29
I1 0.0000 0.0000 0.5000 (multiplicity 1)  6 Ac 3.53-3.54
I2 0.5000 0.5000 0.5000 (multiplicity 1)  6 Ac 3.66-3.68

- DFT total energy: -4.532 eV/atom
- M_tot: 0.00 μB per formula unit


Record 12
Entry from Alexandria via LeMat-Bulk: a relaxed structure of NdHoNp2Se4 (PBE-GGA).

Unit cell a=7.0893 b=4.1239 c=7.2061 alpha=90.00 beta=109.56 gamma=90.00
With the nearest neighbours (Å) after each atom.
Space group P2/m (No. 10)
One atom of each set of equivalent atoms:
Nd1 0.0000 0.0000 0.0000 (multiplicity 1)  6 Se 2.95-2.96
Ho1 0.0000 0.5000 0.5000 (multiplicity 1)  6 Se 2.89-2.90
Np1 0.5000 0.0000 0.5000 (multiplicity 1)  6 Se 2.88-2.89
Np2 0.5000 0.5000 0.0000 (multiplicity 1)  6 Se 2.93-2.95
Se1 0.2494 0.0000 0.7442 (multiplicity 2)  3 Np 2.89-2.93, 2 Ho 2.90, 1 Nd 2.95
Se2 0.2547 0.5000 0.2592 (multiplicity 2)  3 Np 2.88-2.95, 1 Ho 2.89, 2 Nd 2.96

- DFT total energy: -7.556 eV/atom
- M_tot: 0.14 μB per formula unit


Question: M_tot of number 11 (Ac4SiSnI2)?
Answer: 0.00 μB per formula unit